{"formula": "Ag2SbAu4", "functional": "GGA-PBE", "state": "relaxed", "space_group": "Cmmm", "e_above_lowest_polymorph_mev_per_atom": 19, "mass_density_g_cm3": 13.4, "total_magnetization_mub_per_cell": 0.0, "cell": [[2.4168, -9.8183, 0.0000], [2.4168, 9.8183, 0.0000], [0.0000, 0.0000, 2.9314]], "species": ["Ag", "Ag", "Sb", "Au", "Au", "Au", "Au"], "frac_coords": [[0.2141, 0.7859, 0.0000], [0.7859, 0.2141, 0.0000], [0.5000, 0.5000, 0.5000], [0.0827, 0.9173, 0.5000], [0.3601, 0.6399, 0.0000], [0.6399, 0.3601, 0.0000], [0.9173, 0.0827, 0.5000]]}